Run 1
Material: TlCdH2
Method: DFT, PBE
State: relaxed

Structure (POSCAR):
```
TlCdH2
1.0
-0.568 0.058 4.917
-0.366 -3.069 -0.005
11.353 -0.516 2.538
Cd H Tl
2 4 2
Cartesian
5.494 -1.792 1.267
5.393 -0.229 3.727
9.947 -1.003 6.202
10.691 -1.134 6.216
0.472 -2.524 1.248
-0.272 -2.392 1.234
2.347 -1.415 3.921
8.072 -2.112 3.529
```

***

Run 2
Material: TlCdH2
Method: DFT, PBE
State: relaxed

Structure (POSCAR):
```
TlCdH2
1.0
5.248 0.000 0.000
0.000 5.248 0.000
2.624 2.624 5.237
Cd H Tl
2 4 2
Cartesian
2.624 2.624 0.000
2.624 5.248 2.619
3.936 4.704 3.928
2.080 3.936 1.309
6.560 5.792 3.928
3.168 1.312 1.309
5.248 2.624 2.619
0.000 0.000 0.000
```

***

Least stable structure: run 2

***

Run 1
Material: Tl3CdH
Method: DFT, PBE
State: relaxed

Structure (POSCAR):
```
Tl3CdH
1.0
-2.462 -2.471 1.061
6.494 -4.587 4.417
1.031 6.449 5.108
H Tl Cd
2 6 2
Cartesian
5.696 2.105 8.232
3.173 -4.483 5.742
0.444 -0.459 2.461
5.542 0.204 9.762
1.934 2.666 7.096
2.764 -0.772 7.255
3.326 -2.580 4.213
6.109 -1.607 6.719
2.664 0.803 4.356
-0.289 1.409 5.204
```

***

Run 2
Material: Tl3CdH
Method: DFT, PBE
State: relaxed

Structure (POSCAR):
```
Tl3CdH
1.0
-0.689 2.499 -4.260
-4.939 -0.362 0.586
-0.016 4.300 2.525
Tl H Cd
3 1 1
Cartesian
-0.344 1.249 -2.130
-2.469 -0.181 0.293
-0.008 2.150 1.263
0.000 0.000 0.000
-2.822 3.218 -0.575
```

***

Least stable structure: run 2

***

Run 1
Material: TlCd3H
Method: DFT, PBE
State: relaxed

Structure (POSCAR):
```
TlCd3H
1.0
4.710 0.000 0.000
0.000 4.710 0.000
0.000 0.000 4.710
Cd Tl H
3 1 1
Cartesian
2.355 0.000 0.000
0.000 0.000 2.355
0.000 2.355 0.000
2.355 2.355 2.355
0.000 0.000 0.000
```

***

Run 2
Material: TlCd3H
Method: DFT, PBE
State: relaxed

Structure (POSCAR):
```
TlCd3H
1.0
-1.051 3.422 -4.410
-0.452 -4.525 -3.404
-5.563 -0.279 1.110
Cd H Tl
3 1 1
Cartesian
-2.782 -0.140 0.555
-0.226 -2.262 -1.702
-0.526 1.711 -2.205
-3.533 -0.691 -3.352
0.000 0.000 0.000
```

***

Least stable structure: run 2

***

Run 1
Material: V2CdH
Method: DFT, PBE
State: relaxed

Structure (POSCAR):
```
V2CdH
1.0
-2.164 4.710 -1.363
-3.219 -0.241 4.278
-0.082 4.031 3.522
H V Cd
2 4 2
Cartesian
-2.997 3.012 4.629
-2.692 2.234 1.458
-2.886 4.639 4.805
-3.967 6.994 4.122
-2.844 2.624 3.043
-1.234 2.743 0.904
0.000 0.000 0.000
-2.469 5.488 1.808
```

***

Run 2
Material: V2CdH
Method: DFT, PBE
State: relaxed

Structure (POSCAR):
```
V2CdH
1.0
1.238 -3.891 -1.334
-1.950 -1.841 -3.356
2.090 -0.428 -3.729
Cd V H
1 2 1
Cartesian
0.689 -3.080 -4.210
0.344 -1.540 -2.105
1.033 -4.620 -6.314
0.000 0.000 0.000
```

***

Run 3
Material: V2CdH
Method: DFT, PBE
State: relaxed

Structure (POSCAR):
```
V2CdH
1.0
-0.790 2.174 -1.472
-2.412 -0.030 -1.303
-4.649 3.855 5.633
Cd V H
1 2 1
Cartesian
0.000 0.000 0.000
-4.469 3.255 -0.454
-3.381 2.743 3.312
-3.925 2.999 1.429
```

***

Least stable structure: run 2

***

Run 1
Material: VCd3H
Method: DFT, PBE
State: relaxed

Structure (POSCAR):
```
VCd3H
1.0
-1.047 5.000 1.893
-5.184 -1.421 0.884
1.305 -1.631 5.031
Cd V H
3 1 1
Cartesian
-2.592 -0.710 0.442
-0.524 2.500 0.946
0.652 -0.816 2.516
0.000 0.000 0.000
-2.463 0.974 3.904
```

***

Run 2
Material: VCd3H
Method: DFT, PBE
State: relaxed

Structure (POSCAR):
```
VCd3H
1.0
4.416 0.000 0.000
0.000 4.416 0.000
0.000 0.000 4.416
H Cd V
1 3 1
Cartesian
0.000 0.000 0.000
2.208 0.000 0.000
0.000 2.208 0.000
0.000 0.000 2.208
2.208 2.208 2.208
```

***

Least stable structure: run 1

***

Run 1
Material: VCdH3
Method: DFT, PBE
State: relaxed

Structure (POSCAR):
```
VCdH3
1.0
-0.460 3.583 1.251
-3.639 -0.060 -1.168
-1.076 -1.332 3.418
H V Cd
3 1 1
Cartesian
-0.538 -0.666 1.709
-1.820 -0.030 -0.584
-0.230 1.791 0.626
-2.588 1.096 1.750
0.000 0.000 0.000
```

***

Run 2
Material: VCdH3
Method: DFT, PBE
State: relaxed

Structure (POSCAR):
```
VCdH3
1.0
3.584 0.000 0.000
0.000 3.584 0.000
0.000 0.000 3.584
V H Cd
1 3 1
Cartesian
0.000 0.000 0.000
0.000 0.000 1.792
0.000 1.792 0.000
1.792 0.000 0.000
1.792 1.792 1.792
```

***

Least stable structure: run 1

***

Run 1
Material: Cd3HW
Method: DFT, PBE
State: relaxed

Structure (POSCAR):
```
Cd3HW
1.0
4.322 0.000 0.000
0.000 4.322 0.000
0.000 0.000 4.322
Cd H W
3 1 1
Cartesian
0.000 0.000 2.161
2.161 0.000 0.000
0.000 2.161 0.000
0.000 0.000 0.000
2.161 2.161 2.161
```

***

Run 2
Material: Cd3HW
Method: DFT, PBE
State: relaxed

Structure (POSCAR):
```
Cd3HW
1.0
5.557 0.000 0.000
0.000 5.557 0.000
0.000 0.000 5.557
W H Cd
1 1 3
Cartesian
0.000 0.000 0.000
2.778 2.778 2.778
0.000 2.778 0.000
0.000 0.000 2.778
2.778 0.000 0.000
```

***

Least stable structure: run 2

***

Run 1
Material: CdH2W
Method: DFT, PBE
State: relaxed

Structure (POSCAR):
```
CdH2W
1.0
-0.881 -3.833 0.432
0.829 -1.849 3.398
-2.930 -1.095 2.422
W H Cd
1 2 1
Cartesian
-1.491 -3.389 3.126
-2.237 -5.083 4.689
-0.746 -1.694 1.563
0.000 0.000 0.000
```

***

Run 2
Material: CdH2W
Method: DFT, PBE
State: relaxed

Structure (POSCAR):
```
CdH2W
1.0
-0.784 -3.554 4.061
1.706 -4.057 -3.221
3.229 -3.368 1.337
Cd H W
2 4 2
Cartesian
2.698 -5.615 -0.732
0.461 -3.805 0.420
3.367 -9.512 1.479
0.468 -3.857 2.797
2.630 -5.053 1.577
1.839 -3.535 -1.498
0.000 0.000 0.000
1.454 -5.364 2.909
```

***

Least stable structure: run 1

***

Run 1
Material: CdH3W
Method: DFT, PBE
State: relaxed

Structure (POSCAR):
```
CdH3W
1.0
3.640 0.000 0.000
0.000 3.640 0.000
0.000 0.000 3.640
W Cd H
1 1 3
Cartesian
1.820 1.820 1.820
0.000 0.000 0.000
0.000 1.820 0.000
0.000 0.000 1.820
1.820 0.000 0.000
```

***

Run 2
Material: CdH3W
Method: DFT, PBE
State: relaxed

Structure (POSCAR):
```
CdH3W
1.0
-0.710 0.988 -3.416
-3.556 -0.149 0.696
0.049 3.486 0.998
H Cd W
3 1 1
Cartesian
-0.355 0.494 -1.708
0.024 1.743 0.499
-1.778 -0.075 0.348
-2.109 2.162 -0.861
0.000 0.000 0.000
```

***

Least stable structure: run 1

***

Run 1
Material: YCdH2
Method: DFT, PBE
State: relaxed

Structure (POSCAR):
```
YCdH2
1.0
0.095 -4.262 0.002
-1.738 -2.169 3.232
-3.594 -2.212 -0.606
H Y Cd
2 1 1
Cartesian
-1.309 -2.161 0.657
-3.928 -6.483 1.971
0.000 0.000 0.000
-2.619 -4.322 1.314
```

***

Run 2
Material: YCdH2
Method: DFT, PBE
State: relaxed

Structure (POSCAR):
```
YCdH2
1.0
-3.559 0.987 -3.054
0.160 -4.501 -1.641
-5.454 -3.303 1.528
H Y Cd
4 2 2
Cartesian
-5.357 -4.050 -0.708
-1.911 -3.459 -1.199
-7.075 -5.296 -2.869
-3.366 -0.827 -1.559
-1.700 -1.757 -2.348
-3.497 -4.780 -1.230
0.000 0.000 0.000
-5.357 -2.036 -1.937
```

***

Least stable structure: run 1

***

Run 1
Material: ZnCdH
Method: DFT, PBE
State: relaxed

Structure (POSCAR):
```
ZnCdH
1.0
-0.424 -0.215 3.113
-2.457 -0.297 -1.948
0.801 -5.059 -0.241
Cd Zn H
1 1 1
Cartesian
0.800 -5.052 -0.240
-0.713 -2.696 1.310
-1.365 -2.882 -0.385
```

***

Run 2
Material: ZnCdH
Method: DFT, PBE
State: relaxed

Structure (POSCAR):
```
ZnCdH
1.0
2.944 0.000 0.000
0.000 2.944 0.000
-1.472 -1.472 5.107
Cd H Zn
1 1 1
Cartesian
1.472 1.472 1.323
1.472 1.472 3.656
0.000 0.000 3.703
```

***

Least stable structure: run 2

***

Run 1
Material: ZnCdH3
Method: DFT, PBE
State: relaxed

Structure (POSCAR):
```
ZnCdH3
1.0
3.909 0.000 0.000
0.000 3.909 0.000
0.000 0.000 3.909
H Zn Cd
3 1 1
Cartesian
0.000 1.954 0.000
0.000 0.000 1.954
1.954 0.000 0.000
1.954 1.954 1.954
0.000 0.000 0.000
```

***

Run 2
Material: ZnCdH3
Method: DFT, PBE
State: relaxed

Structure (POSCAR):
```
ZnCdH3
1.0
-2.322 -1.680 -2.408
2.770 -2.271 -1.087
-0.973 -2.456 2.652
H Zn Cd
3 1 1
Cartesian
-0.487 -1.228 1.326
-1.161 -0.840 -1.204
1.385 -1.135 -0.544
0.000 0.000 0.000
-0.263 -3.203 -0.422
```

***

Least stable structure: run 1

***

Run 1
Material: HfCd4
Method: DFT, PBE
State: relaxed

Structure (POSCAR):
```
HfCd4
1.0
-2.740 -1.613 -0.244
1.240 -2.369 1.738
-2.768 6.633 8.090
Cd Hf
4 1
Cartesian
-2.816 3.715 7.073
-1.453 -1.064 2.511
-1.405 1.854 3.529
-2.863 0.797 6.055
0.000 0.000 0.000
```

***

Run 2
Material: HfCd4
Method: DFT, PBE
State: relaxed

Structure (POSCAR):
```
HfCd4
1.0
5.665 0.000 0.000
0.000 5.665 0.000
0.000 0.000 5.665
Hf Cd
1 4
Cartesian
2.833 2.833 2.833
0.000 2.833 2.833
0.000 0.000 0.000
2.833 0.000 2.833
2.833 2.833 0.000
```

***

Least stable structure: run 2